No. 1
# Y2ScMnSb

A geometry-optimized Y2ScMnSb structure (PBE, the Alexandria database).

Values from the calculation:
E_form (uncorrected): -0.057 eV/atom
SG: P4/mmm (123)

Geometry as CIF:
```
data_Y2ScMnSb
_chemical_formula_sum 'Y2 Sc1 Mn1 Sb1'
_space_group_name_H-M_alt 'P 1'
_space_group_IT_number 1
_space_group_name_Hall 'P 1'
_cell_length_a 5.1728
_cell_length_b 4.7473
_cell_length_c 5.1728
_cell_angle_alpha 90.00
_cell_angle_beta 90.00
_cell_angle_gamma 90.00
loop_
_atom_site_label
_atom_site_type_symbol
_atom_site_fract_x
_atom_site_fract_y
_atom_site_fract_z
_atom_site_occupancy
Sc1 Sc 0.0000 0.5000 0.0000 1
Mn1 Mn 0.0000 0.0000 0.0000 1
Y1 Y 0.5000 0.0000 0.0000 1
Y2 Y 0.0000 0.0000 0.5000 1
Sb1 Sb 0.5000 0.5000 0.5000 1
```

No. 2
# ZrScMnSb2

A geometry-optimized ZrScMnSb2 structure (PBE, the Alexandria database).

Values from the calculation:
E_form (uncorrected): 0.718 eV/atom
SG: P4/mmm (123)

Geometry as CIF:
```
data_ZrScMnSb2
_chemical_formula_sum 'Zr1 Sc1 Mn1 Sb2'
_space_group_name_H-M_alt 'P 1'
_space_group_IT_number 1
_space_group_name_Hall 'P 1'
_cell_length_a 5.3389
_cell_length_b 4.1536
_cell_length_c 5.3389
_cell_angle_alpha 90.00
_cell_angle_beta 90.00
_cell_angle_gamma 90.00
loop_
_atom_site_label
_atom_site_type_symbol
_atom_site_fract_x
_atom_site_fract_y
_atom_site_fract_z
_atom_site_occupancy
Mn1 Mn 0.0000 0.5000 0.0000 1
Sc1 Sc 0.0000 0.0000 0.0000 1
Zr1 Zr 0.5000 0.5000 0.5000 1
Sb1 Sb 0.5000 0.0000 0.0000 1
Sb2 Sb 0.0000 0.0000 0.5000 1
```

Please write out number 2 again, unchanged.
# ZrScMnSb2

A geometry-optimized ZrScMnSb2 structure (PBE, the Alexandria database).

Values from the calculation:
E_form (uncorrected): 0.718 eV/atom
SG: P4/mmm (123)

Geometry as CIF:
```
data_ZrScMnSb2
_chemical_formula_sum 'Zr1 Sc1 Mn1 Sb2'
_space_group_name_H-M_alt 'P 1'
_space_group_IT_number 1
_space_group_name_Hall 'P 1'
_cell_length_a 5.3389
_cell_length_b 4.1536
_cell_length_c 5.3389
_cell_angle_alpha 90.00
_cell_angle_beta 90.00
_cell_angle_gamma 90.00
loop_
_atom_site_label
_atom_site_type_symbol
_atom_site_fract_x
_atom_site_fract_y
_atom_site_fract_z
_atom_site_occupancy
Mn1 Mn 0.0000 0.5000 0.0000 1
Sc1 Sc 0.0000 0.0000 0.0000 1
Zr1 Zr 0.5000 0.5000 0.5000 1
Sb1 Sb 0.5000 0.0000 0.0000 1
Sb2 Sb 0.0000 0.0000 0.5000 1
```

Please write out number 2 again, unchanged.
# ZrScMnSb2

A geometry-optimized ZrScMnSb2 structure (PBE, the Alexandria database).

Values from the calculation:
E_form (uncorrected): 0.718 eV/atom
SG: P4/mmm (123)

Geometry as CIF:
```
data_ZrScMnSb2
_chemical_formula_sum 'Zr1 Sc1 Mn1 Sb2'
_space_group_name_H-M_alt 'P 1'
_space_group_IT_number 1
_space_group_name_Hall 'P 1'
_cell_length_a 5.3389
_cell_length_b 4.1536
_cell_length_c 5.3389
_cell_angle_alpha 90.00
_cell_angle_beta 90.00
_cell_angle_gamma 90.00
loop_
_atom_site_label
_atom_site_type_symbol
_atom_site_fract_x
_atom_site_fract_y
_atom_site_fract_z
_atom_site_occupancy
Mn1 Mn 0.0000 0.5000 0.0000 1
Sc1 Sc 0.0000 0.0000 0.0000 1
Zr1 Zr 0.5000 0.5000 0.5000 1
Sb1 Sb 0.5000 0.0000 0.0000 1
Sb2 Sb 0.0000 0.0000 0.5000 1
```